1.
YHf2Ni2 PBE optimized geometry; energy relative to the lowest polymorph listed for this composition = 0 meV per atom; energy relative to the elements = -0.301 eV/atom; uncorrected energy = -39.4 eV for the cell shown; crystal system = tetragonal; space group = I4/mmm (139)
1.0
-2.2162 2.2162 5.0531
2.2162 -2.2162 5.0531
2.2162 2.2162 -5.0531
Y Hf Ni
1 2 2
direct
0.0000 0.0000 0.0000
0.2500 0.7500 0.5000
0.7500 0.2500 0.5000
0.3835 0.3835 0.0000
0.6165 0.6165 0.0000

=====

2.
DyHoGe2 PBE optimized geometry; energy relative to the elements = -0.868 eV/atom; uncorrected energy = -21.9 eV for the cell shown; crystal system = orthorhombic; space group = Amm2 (38)
1.0
3.9629 0.0000 0.0000
0.0000 2.1358 5.3535
0.0000 -2.1358 5.3535
Dy Ho Ge
1 1 2
direct
0.0000 0.0000 0.0000
0.5000 0.2758 0.2758
0.0000 0.7238 0.7238
0.5000 0.5522 0.5522

=====

3.
Pm3ZrH PBE optimized geometry; uncorrected energy = -26.4 eV for the cell shown; crystal system = cubic; space group = Pm-3m (221)
1.0
4.9919 0.0000 0.0000
0.0000 4.9919 0.0000
0.0000 0.0000 4.9919
Pm Zr H
3 1 1
direct
0.0000 0.0000 0.5000
0.0000 0.5000 0.0000
0.5000 0.0000 0.0000
0.5000 0.5000 0.5000
0.0000 0.0000 0.0000

=====

4.
RbSc3F10 PBE optimized geometry; formation energy (no corrections) = -3.82 eV/atom; uncorrected energy = -184.2 eV for the cell shown; crystal system = orthorhombic; space group = Pmma (51)
1.0
8.0890 0.0000 0.0000
0.0000 7.6671 0.0000
0.0000 0.0000 6.7658
Rb Sc F
2 6 20
direct
0.2500 0.0000 0.0048
0.7500 0.0000 0.9952
0.0000 0.2305 0.5000
0.0000 0.5000 0.0000
0.0000 0.7695 0.5000
0.5000 0.2305 0.5000
0.5000 0.5000 0.0000
0.5000 0.7695 0.5000
0.0000 0.5000 0.5000
0.0112 0.0000 0.6762
0.0336 0.3045 0.8017
0.0336 0.6955 0.8017
0.2500 0.2227 0.4597
0.2500 0.5000 0.0545
0.2500 0.7773 0.4597
0.4664 0.3045 0.8017
0.4664 0.6955 0.8017
0.4888 0.0000 0.6762
0.5000 0.5000 0.5000
0.5112 0.0000 0.3238
0.5336 0.3045 0.1983
0.5336 0.6955 0.1983
0.7500 0.2227 0.5403
0.7500 0.5000 0.9455
0.7500 0.7773 0.5403
0.9664 0.3045 0.1983
0.9664 0.6955 0.1983
0.9888 0.0000 0.3238

=====

5.
Sm6Dy3Y2Th PBE optimized geometry; energy relative to the elements = 0.029 eV/atom; uncorrected energy = -62.1 eV for the cell shown; crystal system = monoclinic; space group = C2/m (12)
1.0
3.1148 -5.3894 0.0000
3.1148 5.3894 0.0000
-2.0768 0.0000 11.7417
Sm Dy Y Th
6 3 2 1
direct
0.0840 0.4135 0.7505
0.2454 0.2454 0.2498
0.4135 0.0840 0.7505
0.5865 0.9160 0.2495
0.7546 0.7546 0.7502
0.9160 0.5865 0.2495
0.1670 0.8330 0.0000
0.5000 0.5000 0.0000
0.8330 0.1670 0.0000
0.3333 0.6667 0.5000
0.6667 0.3333 0.5000
0.0000 0.0000 0.5000

=====

6.
SiTeAu2 PBE optimized geometry; energy relative to the lowest polymorph listed for this composition = 325 meV per atom; formation energy (no corrections) = 0.38 eV/atom; uncorrected energy = -13.6 eV for the cell shown; crystal system = tetragonal; space group = I-4m2 (119)
1.0
-2.1608 2.1608 4.3781
2.1608 -2.1608 4.3781
2.1608 2.1608 -4.3781
Si Te Au
1 1 2
direct
0.0000 0.0000 0.0000
0.2500 0.7500 0.5000
0.5000 0.5000 0.0000
0.7500 0.2500 0.5000

=====

> Look up the uncorrected energy of the third one.

-26.4 eV for the cell shown

=====

> uncorrected energy of number 1 (YHf2Ni2)?

-39.4 eV for the cell shown

=====

> Which formula does entry 5 have?

Sm6Dy3Y2Th

=====

> The lowest uncorrected energy belongs to which entry?

RbSc3F10